## LiGa2BTe (PBE-GGA)

Data for a relaxed structure of LiGa2BTe.

Cell and atoms, written as CIF:
```
data_LiGa2BTe
_symmetry_space_group_name_H-M 'P 4/m m m'
_symmetry_Int_Tables_number 123
_symmetry_space_group_name_Hall '-P 4 2'
_cell_length_a 4.854
_cell_length_b 4.854
_cell_length_c 4.174
_cell_angle_alpha 90.00
_cell_angle_beta 90.00
_cell_angle_gamma 90.00
loop_
_atom_site_label
_atom_site_type_symbol
_atom_site_fract_x
_atom_site_fract_y
_atom_site_fract_z
_atom_site_occupancy
Li1 Li 0.000 0.000 0.000 1
Ga1 Ga 0.000 0.500 0.000 1
B1 B 0.000 0.000 0.500 1
Te1 Te 0.500 0.500 0.500 1
```

Properties
Electronic total energy: -2.802 eV per atom
Energy relative to the elements, uncorrected: 0.755 eV/atom
ρ: 4.808 g cm⁻³
Energy above the most stable polymorph in this dataset: 0 meV/atom

=====

## Li2GaBTe (PBE-GGA)

Data for a relaxed structure of Li2GaBTe.

Cell and atoms, written as CIF:
```
data_Li2GaBTe
_symmetry_space_group_name_H-M 'P 4/m m m'
_symmetry_Int_Tables_number 123
_symmetry_space_group_name_Hall '-P 4 2'
_cell_length_a 4.945
_cell_length_b 4.945
_cell_length_c 6.306
_cell_angle_alpha 90.00
_cell_angle_beta 90.00
_cell_angle_gamma 90.00
loop_
_atom_site_label
_atom_site_type_symbol
_atom_site_fract_x
_atom_site_fract_y
_atom_site_fract_z
_atom_site_occupancy
Li1 Li 0.000 0.500 0.000 1
Ga1 Ga 0.000 0.000 0.500 1
B1 B 0.500 0.500 0.500 1
Te1 Te 0.000 0.000 0.000 1
```

Properties
Electronic total energy: -2.512 eV per atom
Energy relative to the elements, uncorrected: 0.823 eV/atom
ρ: 2.391 g cm⁻³

=====

Repeat the first record exactly.
## LiGa2BTe (PBE-GGA)

Data for a relaxed structure of LiGa2BTe.

Cell and atoms, written as CIF:
```
data_LiGa2BTe
_symmetry_space_group_name_H-M 'P 4/m m m'
_symmetry_Int_Tables_number 123
_symmetry_space_group_name_Hall '-P 4 2'
_cell_length_a 4.854
_cell_length_b 4.854
_cell_length_c 4.174
_cell_angle_alpha 90.00
_cell_angle_beta 90.00
_cell_angle_gamma 90.00
loop_
_atom_site_label
_atom_site_type_symbol
_atom_site_fract_x
_atom_site_fract_y
_atom_site_fract_z
_atom_site_occupancy
Li1 Li 0.000 0.000 0.000 1
Ga1 Ga 0.000 0.500 0.000 1
B1 B 0.000 0.000 0.500 1
Te1 Te 0.500 0.500 0.500 1
```

Properties
Electronic total energy: -2.802 eV per atom
Energy relative to the elements, uncorrected: 0.755 eV/atom
ρ: 4.808 g cm⁻³
Energy above the most stable polymorph in this dataset: 0 meV/atom

=====

Q: What is the ρ in the second record?
A: 2.391 g cm⁻³

=====

Q: Number 2 is which compound?
A: Li2GaBTe